First-principles (GGA-PBE) data for Nd4Ho3ErS8 after structural relaxation, as listed in Alexandria via LeMat-Bulk.

abc: 8.0368 8.0368 8.0368
angles: 58.65 58.65 58.65
Element x y z (fractional)
Nd 0.0000 0.0000 0.0000
Nd 0.0000 0.5000 0.5000
Nd 0.5000 0.0000 0.5000
Nd 0.5000 0.5000 0.0000
Ho 0.0000 0.0000 0.5000
Ho 0.0000 0.5000 0.0000
Ho 0.5000 0.0000 0.0000
Er 0.5000 0.5000 0.5000
S 0.2437 0.2437 0.2437
S 0.2445 0.7430 0.7430
S 0.2570 0.2570 0.7555
S 0.2570 0.7555 0.2570
S 0.7430 0.2445 0.7430
S 0.7430 0.7430 0.2445
S 0.7555 0.2570 0.2570
S 0.7563 0.7563 0.7563

formation energy without anion corrections = -2.003 eV/atom
total DFT energy (no corrections) = -6.402 eV per atom
N(E_F) = 6.94 states/eV/cell
space group = R-3m (166)